# 1
A plane-wave DFT calculation with PBE-GGA was carried out for LiPb4Se after structural relaxation.

```
6
Lattice="0.000 4.550 4.550 4.550 0.000 4.550 4.550 4.550 0.000" Properties=species:S:1:pos:R:3 pbc="T T T"
Li 0.000 0.000 0.000
Pb 5.691 3.409 3.409
Pb 3.409 5.691 3.409
Pb 3.409 3.409 5.691
Pb 5.691 5.691 5.691
Se 2.275 2.275 2.275
```

Values from the calculation:
- uncorrected formation energy (meV/atom) = 144
- total magnetization (μB per formula unit) = 0.0
- calculated volume (Å³/cell) = 188.4



# 2
A plane-wave DFT calculation with PBE-GGA was carried out for AlHPd3 after structural relaxation.

```
10
Lattice="2.765 -6.328 0.000 2.765 6.328 0.000 0.000 0.000 4.910" Properties=species:S:1:pos:R:3 pbc="T T T"
Al 2.765 4.143 3.682
Al 2.765 -4.143 1.227
H 2.765 1.232 3.682
H 2.765 -1.232 1.227
Pd 0.000 0.000 0.000
Pd 0.000 0.000 2.455
Pd 1.327 2.162 3.682
Pd 1.327 -2.162 1.227
Pd 4.202 2.162 3.682
Pd 4.202 -2.162 1.227
```

Values from the calculation:
- total magnetization (μB per formula unit) = 0.0
- calculated volume (Å³/cell) = 171.8
- E (eV for the cell shown) = -46.36



# 3
A plane-wave DFT calculation with PBE-GGA was carried out for TiPbS2 after structural relaxation.

```
8
Lattice="1.932 -10.249 0.000 1.932 10.249 0.000 0.000 0.000 4.712" Properties=species:S:1:pos:R:3 pbc="T T T"
Ti 1.932 9.153 3.534
Ti 1.932 -9.153 1.178
Pb 1.932 3.640 3.534
Pb 1.932 -3.640 1.178
S 1.932 8.969 1.178
S 1.932 6.623 3.534
S 1.932 -6.623 1.178
S 1.932 -8.969 3.534
```

Values from the calculation:
- uncorrected formation energy (meV/atom) = -617
- total magnetization (μB per formula unit) = 0.7
- calculated volume (Å³/cell) = 186.6



# 4
A plane-wave DFT calculation with PBE-GGA was carried out for Pm3CdBi2 after structural relaxation.

```
12
Lattice="7.227 -3.207 0.000 7.227 3.207 0.000 -2.868 0.000 8.644" Properties=species:S:1:pos:R:3 pbc="T T T"
Pm 6.510 3.205 2.161
Pm 5.076 -3.205 6.483
Pm 3.516 -0.001 3.566
Pm 2.082 0.001 7.888
Pm 9.504 -0.001 0.756
Pm 8.070 0.001 5.078
Cd 6.510 -0.003 2.161
Cd 5.076 0.003 6.483
Bi 2.144 -0.001 0.713
Bi 0.710 0.001 5.035
Bi 10.876 -0.001 3.609
Bi 9.441 0.001 7.931
```

Values from the calculation:
- ΔE_f (eV per atom) = -0.597
- total magnetization (μB per formula unit) = 0.0
- calculated volume (Å³/cell) = 400.8



# 5
A plane-wave DFT calculation with PBE-GGA was carried out for LiLaAl2 after structural relaxation.

```
4
Lattice="1.587 0.916 10.227 -1.587 0.916 10.227 0.000 -1.832 10.227" Properties=species:S:1:pos:R:3 pbc="T T T"
Li 0.000 0.000 0.000
La 0.000 0.000 15.341
Al 0.000 0.000 7.924
Al 0.000 0.000 22.759
```

Values from the calculation:
- ΔE_f (eV per atom) = 0.070
- total magnetization (μB per formula unit) = 0.7
- calculated volume (Å³/cell) = 89.2



# 6
A plane-wave DFT calculation with PBE-GGA was carried out for Ac4CeHo3Sb8 after structural relaxation.

```
16
Lattice="7.971 -4.603 0.000 7.971 4.603 0.000 -5.314 0.000 7.517" Properties=species:S:1:pos:R:3 pbc="T T T"
Ac 0.000 0.000 0.000
Ac 3.986 2.302 0.000
Ac 3.986 -2.302 0.000
Ac 7.971 0.000 0.000
Ce -2.657 0.000 3.759
Ho 1.329 2.302 3.759
Ho 1.329 -2.302 3.759
Ho 5.314 0.000 3.759
Sb 0.030 0.000 5.465
Sb 3.976 2.285 5.467
Sb 2.660 0.000 2.062
Sb 6.652 2.285 2.050
Sb 3.976 -2.285 5.467
Sb 7.968 0.000 5.455
Sb 6.652 -2.285 2.050
Sb 10.598 0.000 2.052
```

Values from the calculation:
- uncorrected formation energy (meV/atom) = -1137
- total magnetization (μB per formula unit) = 0.6
- calculated volume (Å³/cell) = 551.6



# 7
A plane-wave DFT calculation with PBE-GGA was carried out for CuS4N after structural relaxation.

```
24
Lattice="4.258 0.000 0.000 0.000 9.406 0.000 0.000 0.000 13.190" Properties=species:S:1:pos:R:3 pbc="T T T"
Cu 0.371 1.388 0.007
Cu 1.758 8.017 6.602
Cu 2.500 3.314 13.182
Cu 3.887 6.091 6.587
S 0.365 9.143 8.115
S 0.698 4.265 7.750
S 0.769 6.043 12.169
S 0.945 2.772 11.516
S 1.184 6.633 4.921
S 1.360 3.363 5.574
S 1.431 5.141 1.156
S 1.764 0.263 1.521
S 2.494 4.965 5.074
S 2.827 0.438 5.439
S 2.898 8.066 1.021
S 3.074 1.930 1.674
S 3.313 7.475 8.269
S 3.489 1.340 7.616
S 3.560 8.968 12.034
S 3.893 4.440 11.669
N 0.275 4.519 1.845
N 1.854 4.887 8.440
N 2.404 0.184 11.345
N 3.983 9.222 4.750
```

Values from the calculation:
- uncorrected formation energy (meV/atom) = 346
- total magnetization (μB per formula unit) = 0.0
- calculated volume (Å³/cell) = 528.2



# 8
A plane-wave DFT calculation with PBE-GGA was carried out for Ca2Pm2Tm after structural relaxation.

```
5
Lattice="-2.291 2.291 8.818 2.291 -2.291 8.818 2.291 2.291 -8.818" Properties=species:S:1:pos:R:3 pbc="T T T"
Ca 2.291 0.000 4.409
Ca 0.000 2.291 4.409
Pm 0.000 0.000 1.555
Pm 0.000 0.000 16.082
Tm 0.000 0.000 8.818
```

Values from the calculation:
- ΔE_f (eV per atom) = 0.397
- total magnetization (μB per formula unit) = 0.0
- calculated volume (Å³/cell) = 185.1